1.
Computed, not measured: KAgBrF2 after structural relaxation at the PBE level of DFT. Values from VASP.

Cell and atoms, written as Quantum ESPRESSO input:
```
&SYSTEM
  ibrav = 0, nat = 5, ntyp = 4
/
ATOMIC_SPECIES
K 39.10 K.upf
Ag 107.87 Ag.upf
Br 79.90 Br.upf
F 19.00 F.upf
CELL_PARAMETERS angstrom
4.279 0.000 0.000
0.000 4.279 0.000
0.000 0.000 7.984
ATOMIC_POSITIONS crystal
K 0.000 0.000 0.000
Ag 0.000 0.000 0.500
Br 0.500 0.500 0.000
F 0.000 0.500 0.500
F 0.500 0.000 0.500
```

The calculation puts the magnetization at 0.00 μB/atom. As for the crystal system: tetragonal. The value obtained for the relative energy among the computed polymorphs is 212 meV per atom. The value obtained for the formation energy (no corrections) is -1239.7 meV/atom. The symmetry is P4/mmm (123).



2.
Computed, not measured: PmHoInPt after structural relaxation at the PBE level of DFT. Values from VASP.

Cell and atoms, written as Quantum ESPRESSO input:
```
&SYSTEM
  ibrav = 0, nat = 4, ntyp = 4
/
ATOMIC_SPECIES
Pm 145.00 Pm.upf
Ho 164.93 Ho.upf
In 114.82 In.upf
Pt 195.08 Pt.upf
CELL_PARAMETERS angstrom
0.000 3.668 3.668
3.668 0.000 3.668
3.668 3.668 0.000
ATOMIC_POSITIONS crystal
Pm 0.000 0.000 0.000
Ho 0.500 0.500 0.500
In 0.250 0.250 0.250
Pt 0.750 0.750 0.750
```

The calculation puts the magnetization at 0.00 μB/atom. As for the crystal system: cubic. The symmetry is F-43m (216). The energy of formation from the pure elements comes out at -2.8 eV per formula unit.



3.
Computed, not measured: TaGaO3 after structural relaxation at the PBE level of DFT. Values from VASP.

Cell and atoms, written as Quantum ESPRESSO input:
```
&SYSTEM
  ibrav = 0, nat = 5, ntyp = 3
/
ATOMIC_SPECIES
Ta 180.95 Ta.upf
Ga 69.72 Ga.upf
O 16.00 O.upf
CELL_PARAMETERS angstrom
3.994 0.000 0.000
0.000 3.994 0.000
0.000 0.000 3.994
ATOMIC_POSITIONS crystal
Ta 0.000 0.000 0.000
Ga 0.500 0.500 0.500
O 0.000 0.000 0.500
O 0.000 0.500 0.000
O 0.500 0.000 0.000
```

The calculation puts the magnetization at 0.00 μB/atom. As for the crystal system: cubic. The value obtained for the formation energy (no corrections) is -2134.0 meV/atom. The symmetry is Pm-3m (221).



4.
Computed, not measured: KTc4Mo after structural relaxation at the PBE level of DFT. Values from VASP.

Cell and atoms, written as Quantum ESPRESSO input:
```
&SYSTEM
  ibrav = 0, nat = 6, ntyp = 3
/
ATOMIC_SPECIES
K 39.10 K.upf
Tc 98.00 Tc.upf
Mo 95.94 Mo.upf
CELL_PARAMETERS angstrom
0.000 3.720 3.720
3.720 0.000 3.720
3.720 3.720 0.000
ATOMIC_POSITIONS crystal
K 0.000 0.000 0.000
Tc 0.376 0.376 0.376
Tc 0.376 0.376 0.873
Tc 0.376 0.873 0.376
Tc 0.873 0.376 0.376
Mo 0.750 0.750 0.750
```

The calculation puts the magnetization at 0.00 μB/atom. As for the crystal system: cubic. The symmetry is F-43m (216). The energy of formation from the pure elements comes out at 5.6 eV per formula unit.



5.
Computed, not measured: Na2SrMnBr6 after structural relaxation at the PBE level of DFT. Values from VASP.

Cell and atoms, written as Quantum ESPRESSO input:
```
&SYSTEM
  ibrav = 0, nat = 10, ntyp = 4
/
ATOMIC_SPECIES
Na 22.99 Na.upf
Sr 87.62 Sr.upf
Mn 54.94 Mn.upf
Br 79.90 Br.upf
CELL_PARAMETERS angstrom
3.700 2.136 6.624
-3.700 2.136 6.624
0.000 -4.273 6.624
ATOMIC_POSITIONS crystal
Na 0.000 0.000 0.000
Na 0.495 0.495 0.495
Sr 0.198 0.198 0.198
Mn 0.693 0.693 0.693
Br 0.060 0.441 0.794
Br 0.319 0.898 0.603
Br 0.441 0.794 0.060
Br 0.603 0.319 0.898
Br 0.794 0.060 0.441
Br 0.898 0.603 0.319
```

The calculation puts the magnetization at 0.50 μB/atom. As for the crystal system: trigonal. The value obtained for the formation energy (no corrections) is -1463.0 meV/atom. The symmetry is R3 (146).



6.
Computed, not measured: Rb2CoReBr6 after structural relaxation at the PBE level of DFT. Values from VASP.

Cell and atoms, written as Quantum ESPRESSO input:
```
&SYSTEM
  ibrav = 0, nat = 10, ntyp = 4
/
ATOMIC_SPECIES
Rb 85.47 Rb.upf
Co 58.93 Co.upf
Re 186.21 Re.upf
Br 79.90 Br.upf
CELL_PARAMETERS angstrom
0.000 5.250 5.250
5.250 0.000 5.250
5.250 5.250 0.000
ATOMIC_POSITIONS crystal
Rb 0.250 0.250 0.250
Rb 0.750 0.750 0.750
Co 0.000 0.000 0.000
Re 0.500 0.500 0.500
Br 0.253 0.253 0.747
Br 0.253 0.747 0.253
Br 0.253 0.747 0.747
Br 0.747 0.253 0.253
Br 0.747 0.253 0.747
Br 0.747 0.747 0.253
```

The calculation puts the magnetization at 0.43 μB/atom. As for the crystal system: cubic. The value obtained for the formation energy (no corrections) is -583.8 meV/atom. The symmetry is Fm-3m (225).



7.
Computed, not measured: ScCrBi2 after structural relaxation at the PBE level of DFT. Values from VASP.

Cell and atoms, written as Quantum ESPRESSO input:
```
&SYSTEM
  ibrav = 0, nat = 4, ntyp = 3
/
ATOMIC_SPECIES
Sc 44.96 Sc.upf
Cr 52.00 Cr.upf
Bi 208.98 Bi.upf
CELL_PARAMETERS angstrom
0.000 3.513 3.513
3.513 0.000 3.513
3.513 3.513 0.000
ATOMIC_POSITIONS crystal
Sc 0.000 0.000 0.000
Cr 0.500 0.500 0.500
Bi 0.250 0.250 0.250
Bi 0.750 0.750 0.750
```

The calculation puts the magnetization at 0.00 μB/atom. As for the crystal system: cubic. The value obtained for the relative energy among the computed polymorphs is 0 meV per atom. The symmetry is Fm-3m (225). The energy of formation from the pure elements comes out at 1.1 eV per formula unit.



8.
Computed, not measured: SiP2RuN after structural relaxation at the PBE level of DFT. Values from VASP.

Cell and atoms, written as Quantum ESPRESSO input:
```
&SYSTEM
  ibrav = 0, nat = 5, ntyp = 4
/
ATOMIC_SPECIES
Si 28.09 Si.upf
P 30.97 P.upf
Ru 101.07 Ru.upf
N 14.01 N.upf
CELL_PARAMETERS angstrom
3.229 -1.440 0.000
3.229 1.440 0.000
-2.804 0.000 7.315
ATOMIC_POSITIONS crystal
Si 0.000 0.000 0.000
P 0.295 0.295 0.622
P 0.805 0.805 0.196
Ru 0.519 0.519 0.457
N 0.409 0.409 0.852
```

The calculation puts the magnetization at 0.00 μB/atom. As for the crystal system: monoclinic. The value obtained for the relative energy among the computed polymorphs is 9 meV per atom. The value obtained for the formation energy (no corrections) is -318.0 meV/atom. The symmetry is Cm (8).